Entry 1:
Compound: Ti3Zn2Cu4
Source: Alexandria
Functional: GGA-PBE
Structure: optimized geometry

Unit cell a=5.1124 b=7.5085 c=7.5085 alpha=59.89 beta=89.99 gamma=89.99
Fractional positions:
1 Cu 0.9998 0.8346 0.5000
2 Ti 0.2500 0.1614 0.1614
3 Zn 0.4997 0.8311 0.5026
4 Zn 0.5003 0.1689 0.4974
5 Cu 0.5000 0.8317 0.1678
6 Ti 0.7500 0.8386 0.8386
7 Ti 0.2500 0.8386 0.8386
8 Ti 0.2500 0.5000 0.5000
9 Cu 0.5000 0.1683 0.8322
10 Ti 0.7500 0.1614 0.1614
11 Cu 0.0000 0.8322 0.1683
12 Cu 0.5002 0.5000 0.1654
13 Cu 0.0000 0.1678 0.8317
14 Cu 0.4998 0.5000 0.8346
15 Cu 0.0002 0.1654 0.5000
16 Ti 0.7500 0.5000 0.5000
17 Zn 0.0003 0.4974 0.1689
18 Zn 0.9997 0.5026 0.8311

Results
N(E_F)	9.94	states/eV/cell
total magnetic moment	0.0	μB per cell
final energy	-4.8863	eV/atom



Entry 2:
Compound: TiZn2Cu2
Source: Alexandria
Functional: GGA-PBE
Structure: optimized geometry

Unit cell a=7.2561 b=7.2561 c=2.6402 alpha=90.00 beta=90.00 gamma=90.00
Fractional positions:
1 Zn 0.3270 0.1730 0.5000
2 Zn 0.1730 0.6730 0.5000
3 Cu 0.1240 0.3760 0.0000
4 Cu 0.3760 0.8760 0.0000
5 Cu 0.8760 0.6240 0.0000
6 Zn 0.8270 0.3270 0.5000
7 Ti 0.5000 0.5000 0.0000
8 Cu 0.6240 0.1240 0.0000
9 Zn 0.6730 0.8270 0.5000
10 Ti 0.0000 0.0000 0.0000

Results
N(E_F)	4.34	states/eV/cell
total magnetic moment	0.0	μB per cell
final energy	-3.7870	eV/atom



Entry 3:
Compound: Ti2Zn3Cu2
Source: Alexandria
Functional: GGA-PBE
Structure: optimized geometry

Unit cell a=4.4510 b=5.2533 c=4.8611 alpha=98.79 beta=90.00 gamma=115.06
Site moments in Bohr magnetons follow the coordinates.
Fractional positions:
1 Zn 0.2738 0.5476 0.1680  0.00
2 Cu 0.1315 0.2630 0.5966  0.02
3 Ti 0.4243 0.8487 0.7025  0.52
4 Cu 0.8685 0.7370 0.4034  0.02
5 Ti 0.5757 0.1513 0.2975  0.52
6 Zn 0.0000 0.0000 0.0000  0.01
7 Zn 0.7262 0.4524 0.8320  0.00

Results
N(E_F)	4.66	states/eV/cell
total magnetic moment	1.3	μB per cell
final energy	-4.0327	eV/atom



Among the records above, which one has the highest N(E_F)?
Ti3Zn2Cu4



N(E_F) of number 1 (Ti3Zn2Cu4)?
9.94 states/eV/cell